1.
First-principles (SCAN) data for Cs2ZrAg2Te4 at its PBEsol-relaxed geometry, as listed in the Alexandria database.

## Properties
- Formation energy from raw total energies: -8.15 eV/f.u.
- Crystal system: orthorhombic
- SG: C222 (21)

Cell lengths 6.474, 6.475, 8.178 Å; angles 66.68, 90.00, 90.00 degrees
Sites, in units of the cell vectors:
Cs 0.742 0.000 0.500
Cs 0.258 0.500 0.500
Te 0.244 0.139 0.212
Te 0.756 0.649 0.212
Ag 0.500 0.000 0.000
Te 0.756 0.351 0.788
Ag 0.000 0.500 0.000
Zr 0.000 0.000 0.000
Te 0.244 0.861 0.788

=====

2.
First-principles (SCAN) data for CsTiAg3 at its PBEsol-relaxed geometry, as listed in the Alexandria database.

## Properties
- Formation energy from the elements: 8.98 eV per formula unit
- Crystal system: cubic
- SG: Pm-3m (221)

Cell lengths 5.566, 5.566, 5.566 Å; angles 90.00, 90.00, 90.00 degrees
Sites, in units of the cell vectors:
Ag 0.500 0.000 0.000
Ti 0.500 0.500 0.500
Ag 0.000 0.000 0.500
Cs 0.000 0.000 0.000
Ag 0.000 0.500 0.000

=====

3.
First-principles (SCAN) data for CsTlAg at its PBEsol-relaxed geometry, as listed in the Alexandria database.

## Properties
- Formation energy from the elements: -0.25 eV per formula unit
- Crystal system: monoclinic
- SG: P2_1/m (11)

Cell lengths 4.724, 5.389, 8.435 Å; angles 95.88, 90.00, 90.00 degrees
Sites, in units of the cell vectors:
Tl 0.250 0.168 0.139
Cs 0.250 0.266 0.654
Cs 0.750 0.734 0.346
Ag 0.750 0.349 0.991
Ag 0.250 0.651 0.009
Tl 0.750 0.832 0.861

=====

4.
First-principles (SCAN) data for CsTl3Ag at its PBEsol-relaxed geometry, as listed in the Alexandria database.

## Properties
- Formation energy from the elements: 0.40 eV per formula unit
- Crystal system: cubic
- SG: Pm-3m (221)

Cell lengths 5.564, 5.564, 5.564 Å; angles 90.00, 90.00, 90.00 degrees
Sites, in units of the cell vectors:
Cs 0.500 0.500 0.500
Ag 0.000 0.000 0.000
Tl 0.000 0.000 0.500
Tl 0.500 0.000 0.000
Tl 0.000 0.500 0.000

=====

| no. | density of states at the Fermi level (states/eV/f.u.) | final energy (eV per cell) |
| --- | --- | --- |
| 1 | 0.0 | -326.21 |
| 2 | 6.8 | -138.96 |
| 3 | 1.2 | -283.58 |
| 4 | 3.7 | -285.86 |